Record 1
Below is a geometry-optimized B5C7 structure, with properties calculated at the PBE-GGA level.

a = 2.583 Å, b = 2.448 Å, c = 12.385 Å
α = 90.00°, β = 90.00°, γ = 90.00°
Atoms (fractional coordinates):
C: 0.500 0.000 0.258
C: 0.500 0.000 0.570
C: 0.500 0.500 0.497
C: 0.000 0.000 0.014
C: 0.000 0.500 0.744
C: 0.000 0.500 0.427
C: 0.000 0.500 0.082
B: 0.500 0.500 0.821
B: 0.500 0.500 0.169
B: 0.000 0.000 0.654
B: 0.000 0.000 0.334
B: 0.500 0.000 0.932

Values from the calculation:
**Density of states at the Fermi level**: 2.5 states/eV/cell
**Density**: 2.93 g/cm³
**Formation energy**: 0.35 eV per atom
**SG**: Pmm2, No. 25
**Magnetic moment**: 0.00 μB/f.u.

=====

Record 2
Below is a geometry-optimized NdEuCdHg structure, with properties calculated at the PBE-GGA level.

a = 5.478 Å, b = 5.478 Å, c = 5.478 Å
α = 60.00°, β = 60.00°, γ = 60.00°
Each line ends with the local moment (μB).
Atoms (fractional coordinates):
Cd: 0.250 0.250 0.250  0.00
Eu: 0.500 0.500 0.500  6.83
Hg: 0.750 0.750 0.750  0.00
Nd: 0.000 0.000 0.000  -0.02

Values from the calculation:
**Density of states at the Fermi level**: 8.1 states/eV/cell
**Density**: 8.70 g/cm³
**Formation energy**: -0.42 eV per atom
**SG**: F-43m, No. 216
**Magnetic moment**: 6.99 μB/f.u.

=====

Record 3
Below is a geometry-optimized CaSc2AuBr structure, with properties calculated at the PBE-GGA level.

a = 5.004 Å, b = 5.492 Å, c = 5.004 Å
α = 90.00°, β = 90.00°, γ = 90.00°
Atoms (fractional coordinates):
Au: 0.000 0.500 0.000
Ca: 0.500 0.500 0.500
Sc: 0.500 0.000 0.000
Sc: 0.000 0.000 0.500
Br: 0.000 0.000 0.000

Values from the calculation:
**Density of states at the Fermi level**: 7.6 states/eV/cell
**Density**: 4.91 g/cm³
**SG**: P4/mmm, No. 123
**Energy relative to the elements, uncorrected**: 0.02 eV per atom
**Magnetic moment**: 0.00 μB/f.u.

=====

Record 4
Below is a geometry-optimized Ac2AgRhO5 structure, with properties calculated at the PBE-GGA level.

a = 5.769 Å, b = 7.294 Å, c = 7.294 Å
α = 90.00°, β = 90.00°, γ = 90.00°
Each line ends with the local moment (μB).
Atoms (fractional coordinates):
O: 0.753 0.370 0.130  0.14
O: 0.753 0.630 0.870  0.14
O: 0.500 0.000 0.000  0.04
O: 0.247 0.630 0.870  0.14
O: 0.753 0.130 0.630  0.14
O: 0.753 0.870 0.370  0.14
O: 0.247 0.370 0.130  0.14
O: 0.247 0.870 0.370  0.14
O: 0.247 0.130 0.630  0.14
O: 0.500 0.500 0.500  0.04
Ac: 0.500 0.680 0.180  0.01
Ac: 0.500 0.820 0.680  0.01
Ac: 0.500 0.180 0.320  0.01
Ac: 0.500 0.320 0.820  0.01
Ag: 0.000 0.000 0.000  0.00
Ag: 0.000 0.500 0.500  0.00
Rh: 0.000 0.000 0.500  1.20
Rh: 0.000 0.500 0.000  1.20

Values from the calculation:
**Density of states at the Fermi level**: 12.6 states/eV/cell
**Density**: 8.06 g/cm³
**SG**: P4/mbm, No. 127
**Energy relative to the elements, uncorrected**: -1.88 eV per atom
**Magnetic moment**: 2.00 μB/f.u.

=====

Record 5
Below is a geometry-optimized Ho2AlCr structure, with properties calculated at the PBE-GGA level.

a = 3.698 Å, b = 4.985 Å, c = 4.985 Å
α = 90.00°, β = 90.00°, γ = 90.00°
Each line ends with the local moment (μB).
Atoms (fractional coordinates):
Ho: 0.000 0.500 0.000  -0.05
Ho: 0.000 0.000 0.500  -0.05
Cr: 0.500 0.000 0.000  3.41
Al: 0.500 0.500 0.500  -0.02

Values from the calculation:
**Density of states at the Fermi level**: 3.4 states/eV/cell
**Density**: 7.39 g/cm³
**Formation energy**: -0.02 eV per atom
**SG**: P4/mmm, No. 123
**Magnetic moment**: 3.56 μB/f.u.

=====

Record 6
Below is a geometry-optimized CaCeSe2F structure, with properties calculated at the PBE-GGA level.

a = 4.103 Å, b = 4.103 Å, c = 14.363 Å
α = 90.00°, β = 90.00°, γ = 90.00°
Each line ends with the local moment (μB).
Atoms (fractional coordinates):
Ce: 0.000 0.500 0.875  0.79
Ce: 0.500 0.000 0.125  0.79
F: 0.500 0.500 0.500  0.00
F: 0.000 0.000 0.500  0.00
Se: 0.000 0.500 0.093  -0.02
Se: 0.500 0.000 0.314  -0.03
Se: 0.500 0.000 0.907  -0.02
Se: 0.000 0.500 0.686  -0.03
Ca: 0.500 0.000 0.587  0.00
Ca: 0.000 0.500 0.413  0.00

Values from the calculation:
**Density of states at the Fermi level**: 11.4 states/eV/cell
**Density**: 4.91 g/cm³
**SG**: P4/nmm, No. 129
**Energy relative to the elements, uncorrected**: -2.40 eV per atom
**Magnetic moment**: 0.85 μB/f.u.

=====

Record 7
Below is a geometry-optimized BeCdNi2 structure, with properties calculated at the PBE-GGA level.

a = 4.131 Å, b = 4.131 Å, c = 4.131 Å
α = 60.00°, β = 60.00°, γ = 60.00°
Atoms (fractional coordinates):
Cd: 0.750 0.750 0.750
Ni: 0.000 0.000 0.000
Ni: 0.250 0.250 0.250
Be: 0.500 0.500 0.500

Values from the calculation:
**Density of states at the Fermi level**: 3.0 states/eV/cell
**Density**: 7.95 g/cm³
**Formation energy**: 0.13 eV per atom
**SG**: F-43m, No. 216
**Magnetic moment**: 0.00 μB/f.u.

=====

Record 8
Below is a geometry-optimized KBaLa2 structure, with properties calculated at the PBE-GGA level.

a = 7.531 Å, b = 7.531 Å, c = 3.790 Å
α = 90.00°, β = 90.00°, γ = 119.75°
Atoms (fractional coordinates):
La: 0.500 0.500 0.000
La: 0.000 0.000 0.000
K: 0.000 0.500 0.500
Ba: 0.500 0.000 0.500

Values from the calculation:
**Density of states at the Fermi level**: 8.9 states/eV/cell
**Density**: 4.04 g/cm³
**Formation energy**: 0.41 eV per atom
**SG**: Cmmm, No. 65
**Magnetic moment**: 0.00 μB/f.u.

=====

Record 9
Below is a geometry-optimized KIrOs2 structure, with properties calculated at the PBE-GGA level.

a = 4.390 Å, b = 3.926 Å, c = 3.926 Å
α = 90.00°, β = 90.00°, γ = 90.00°
Atoms (fractional coordinates):
Os: 0.000 0.000 0.000
Os: 0.000 0.500 0.500
K: 0.500 0.000 0.500
Ir: 0.500 0.500 0.000

Values from the calculation:
**Density of states at the Fermi level**: 7.8 states/eV/cell
**Density**: 15.01 g/cm³
**Formation energy**: 1.77 eV per atom
**SG**: P4/mmm, No. 123
**Magnetic moment**: 0.01 μB/f.u.

=====

Record 10
Below is a geometry-optimized Pm6DyY2Er structure, with properties calculated at the PBE-GGA level.

a = 9.567 Å, b = 8.940 Å, c = 8.940 Å
α = 117.44°, β = 93.49°, γ = 93.49°
Atoms (fractional coordinates):
Pm: 0.883 0.292 0.514
Pm: 0.556 0.763 0.117
Pm: 0.944 0.883 0.237
Pm: 0.383 0.514 0.292
Pm: 0.444 0.237 0.883
Pm: 0.617 0.486 0.708
Pm: 0.056 0.117 0.763
Pm: 0.313 0.989 0.436
Pm: 0.187 0.564 0.011
Pm: 0.117 0.708 0.486
Pm: 0.687 0.011 0.564
Pm: 0.813 0.436 0.989
Er: 0.250 0.970 0.030
Er: 0.750 0.030 0.970
Dy: 0.750 0.590 0.410
Dy: 0.250 0.410 0.590
Y: 0.047 0.297 0.201
Y: 0.547 0.201 0.297
Y: 0.953 0.703 0.799
Y: 0.453 0.799 0.703

Values from the calculation:
**Density of states at the Fermi level**: 29.0 states/eV/cell
**Density**: 6.79 g/cm³
**Formation energy**: 0.12 eV per atom
**SG**: C2/c, No. 15
**Magnetic moment**: 0.00 μB/f.u.

=====

Record 11
Below is a geometry-optimized TiSiRu2 structure, with properties calculated at the PBE-GGA level.

a = 3.053 Å, b = 4.207 Å, c = 4.207 Å
α = 90.00°, β = 90.00°, γ = 90.00°
Atoms (fractional coordinates):
Si: 0.500 0.500 0.500
Ru: 0.000 0.000 0.500
Ru: 0.000 0.500 0.000
Ti: 0.500 0.000 0.000

Values from the calculation:
**Density of states at the Fermi level**: 0.1 states/eV/cell
**Density**: 8.54 g/cm³
**SG**: P4/mmm, No. 123
**Energy relative to the elements, uncorrected**: -0.82 eV per atom
**Magnetic moment**: 0.00 μB/f.u.

=====

Record 12
Below is a geometry-optimized CaTlHg2Au structure, with properties calculated at the PBE-GGA level.

a = 5.598 Å, b = 5.329 Å, c = 5.598 Å
α = 90.00°, β = 90.00°, γ = 90.00°
Atoms (fractional coordinates):
Hg: 0.500 0.000 0.000
Hg: 0.000 0.000 0.500
Tl: 0.000 0.000 0.000
Au: 0.000 0.500 0.000
Ca: 0.500 0.500 0.500

Values from the calculation:
**Density of states at the Fermi level**: 2.9 states/eV/cell
**Density**: 8.38 g/cm³
**Formation energy**: 0.14 eV per atom
**SG**: P4/mmm, No. 123
**Magnetic moment**: 0.00 μB/f.u.